1.
The following is a PBE calculation of CaCu2Os after structural relaxation, from Alexandria via LeMat-Bulk.

a b c (Å): 4.511 4.511 4.511
angles (deg): 60.00 60.00 60.00
Positions (direct):
Ca: 0.000 0.000 0.000
Cu: 0.500 0.500 0.500
Cu: 0.750 0.750 0.750
Os: 0.250 0.250 0.250

Values from the calculation:
Symmetry: F-43m
Energy relative to the lowest polymorph listed for this composition in eV/f.u.: 1.40
Total DFT energy (no corrections) in eV per atom: -4.66
M_tot in Bohr magnetons per cell: 1.04

2.
The following is a PBE calculation of CaCuOs2 after structural relaxation, from Alexandria via LeMat-Bulk.

a b c (Å): 2.909 4.600 4.779
angles (deg): 90.00 90.00 90.00
Positions (direct):
Ca: 0.000 0.000 0.000
Cu: 0.500 0.500 0.000
Os: 0.000 0.500 0.500
Os: 0.500 0.000 0.500

Values from the calculation:
Symmetry: Pmmm
Energy relative to the lowest polymorph listed for this composition in eV/f.u.: 0.88
Total DFT energy (no corrections) in eV per atom: -6.62
M_tot in Bohr magnetons per cell: 0.00

3.
The following is a PBE calculation of CaCu2Os after structural relaxation, from Alexandria via LeMat-Bulk.

a b c (Å): 5.094 5.094 5.094
angles (deg): 135.61 135.61 64.58
Positions (direct):
Ca: 0.000 0.000 0.000
Cu: 0.250 0.750 0.500
Cu: 0.500 0.500 0.000
Os: 0.750 0.250 0.500

Values from the calculation:
Symmetry: I-4m2
Energy relative to the lowest polymorph listed for this composition in eV/f.u.: 0.67
Total DFT energy (no corrections) in eV per atom: -4.84
M_tot in Bohr magnetons per cell: 0.00

4.
The following is a PBE calculation of CaCuOs2 after structural relaxation, from Alexandria via LeMat-Bulk.

a b c (Å): 5.364 5.364 5.364
angles (deg): 138.80 138.80 59.68
Positions (direct):
Ca: 0.000 0.000 0.000
Cu: 0.500 0.500 0.000
Os: 0.250 0.750 0.500
Os: 0.750 0.250 0.500

Values from the calculation:
Symmetry: I4/mmm
Energy relative to the lowest polymorph listed for this composition in eV/f.u.: 1.54
Total DFT energy (no corrections) in eV per atom: -6.46
M_tot in Bohr magnetons per cell: 0.00